No. 1
Entry from Alexandria via LeMat-Bulk: a geometry-optimized Li2MnAu structure (PBE).

The space group is Pmm2 (No. 25) and the conventional cell measures 2.847, 3.994 and 5.650 Å, with angles of 90.00, 90.00 and 90.00 degrees. Symmetry generates all atoms from Li at (0.000, 0.000, 0.000), Li at (0.500, 0.500, 0.249), Mn at (0.000, 0.000, 0.522) and Au at (0.500, 0.500, 0.751).

Its size of the total moment is 3.941 Bohr magnetons per cell.


No. 2
Entry from Alexandria via LeMat-Bulk: a geometry-optimized LiMnAu2 structure (PBE).

The space group is Cm (No. 8) and the conventional cell measures 9.523, 3.095 and 4.538 Å, with angles of 90.00, 102.76 and 90.00 degrees. Symmetry generates all atoms from Li at (0.000, 0.000, 0.000), Mn at (0.266, 0.500, 0.334), Au at (0.006, 0.500, 0.500) and Au at (0.258, 0.000, 0.836).

Its size of the total moment is 8.097 Bohr magnetons per cell.


No. 3
Entry from Alexandria via LeMat-Bulk: a geometry-optimized LiMn2Au structure (PBE).

The space group is P4mm (No. 99) and the conventional cell measures 3.170, 3.170 and 5.849 Å, with angles of 90.00, 90.00 and 90.00 degrees. Symmetry generates all atoms from Li at (0.000, 0.000, 0.000), Mn at (0.000, 0.000, 0.484), Mn at (0.500, 0.500, 0.276) and Au at (0.500, 0.500, 0.773).

Its size of the total moment is 0.222 Bohr magnetons per cell. The calculation puts the distance to the lowest polymorph of the same formula at 0.07 eV/f.u.


no.,density (g cm⁻³),final energy (eV for the cell shown),ΔE_f (meV per atom)
1,6.87,-16.5,-64
2,11.60,-37.1,-222
3,8.87,-23.4,27